{"formula": "CaTlCd2", "functional": "PBE-GGA", "state": "optimized geometry", "lattice_angstrom": [[3.781, 0.000, 0.000], [0.000, 3.781, 0.000], [0.000, 0.000, 7.428]], "species": ["Ca", "Tl", "Cd", "Cd"], "fractional_positions": [[0.000, 0.000, 0.000], [0.500, 0.500, 0.724], [0.000, 0.000, 0.477], [0.500, 0.500, 0.267]], "dft_energy_ev_per_cell": -6.97, "mass_density_g_cm3": 7.339, "polymorph_energy_kj_per_mol_atoms": 4.3, "sg": "P4mm (99)", "dos_ef_per_ev_cell": 1.29, "formation_energy_ev_per_atom": -0.194, "magnetic_moment_mub_per_cell": 0.0}

{"formula": "KTl7Hg2", "functional": "PBE-GGA", "state": "optimized geometry", "lattice_angstrom": [[4.580, -8.336, 0.000], [4.580, 8.336, 0.000], [0.000, 0.000, 5.026]], "species": ["K", "Tl", "Tl", "Tl", "Tl", "Tl", "Tl", "Tl", "Hg", "Hg"], "fractional_positions": [[0.000, 0.000, 0.000], [0.061, 0.327, 0.500], [0.216, 0.784, 0.000], [0.327, 0.061, 0.500], [0.500, 0.500, 0.500], [0.673, 0.939, 0.500], [0.784, 0.216, 0.000], [0.939, 0.673, 0.500], [0.313, 0.687, 0.500], [0.687, 0.313, 0.500]], "dft_energy_ev_per_cell": -17.01, "mass_density_g_cm3": 8.096, "sg": "Cmmm (65)", "dos_ef_per_ev_cell": 5.52, "formation_energy_ev_per_atom": 0.125, "magnetic_moment_mub_per_cell": 0.0}

{"formula": "ScMnNb3", "functional": "PBE-GGA", "state": "optimized geometry", "lattice_angstrom": [[4.666, 0.000, 0.000], [0.000, 4.666, 0.000], [0.000, 0.000, 4.666]], "species": ["Sc", "Mn", "Nb", "Nb", "Nb"], "fractional_positions": [[0.000, 0.000, 0.000], [0.500, 0.500, 0.500], [0.000, 0.500, 0.500], [0.500, 0.000, 0.500], [0.500, 0.500, 0.000]], "dft_energy_ev_per_cell": -43.03, "mass_density_g_cm3": 6.190, "polymorph_energy_kj_per_mol_atoms": 0.0, "sg": "Pm-3m (221)", "dos_ef_per_ev_cell": 11.76, "formation_energy_ev_per_atom": 0.536, "magnetic_moment_mub_per_cell": 0.0}